Compound: HoB4Rh4
Source: Alexandria
Functional: SCAN
Structure: single point on PBEsol structure

```
HoB4Rh4
1.0
5.2705 0.0000 0.0000
0.0000 5.2705 0.0000
0.0000 0.0000 7.3513
Ho B Rh
2 8 8
direct
0.2500 0.7500 0.2500 Ho
0.7500 0.2500 0.7500 Ho
0.0797 0.2500 0.1006 B
0.2500 0.0797 0.6006 B
0.2500 0.4203 0.6006 B
0.4203 0.2500 0.1006 B
0.5797 0.7500 0.8994 B
0.7500 0.5797 0.3994 B
0.7500 0.9203 0.3994 B
0.9203 0.7500 0.8994 B
0.0014 0.7500 0.6046 Rh
0.2500 0.5014 0.8954 Rh
0.2500 0.9986 0.8954 Rh
0.4986 0.7500 0.6046 Rh
0.5014 0.2500 0.3954 Rh
0.7500 0.0014 0.1046 Rh
0.7500 0.4986 0.1046 Rh
0.9986 0.2500 0.3954 Rh
```

Computed properties:
space-group type: P4_2/nmc
final energy: -24.439 eV/atom
crystal system: tetragonal
M_tot: 0.00 μB per formula unit
E_form: -0.68 eV/atom


Compound: HoB2Ru3
Source: Alexandria
Functional: SCAN
Structure: single point on PBEsol structure

```
HoB2Ru3
1.0
5.4379 0.0000 0.0000
-2.7189 4.7093 0.0000
0.0000 0.0000 2.9890
Ho B Ru
1 2 3
direct
0.0000 0.0000 0.0000 Ho
0.3333 0.6667 0.0000 B
0.6667 0.3333 0.0000 B
0.0000 0.5000 0.5000 Ru
0.5000 0.0000 0.5000 Ru
0.5000 0.5000 0.5000 Ru
```

Computed properties:
space-group type: P6/mmm
final energy: -28.608 eV/atom
crystal system: hexagonal
M_tot: 0.00 μB per formula unit
E_form: -0.55 eV/atom


Compound: HoB4Ru4
Source: Alexandria
Functional: SCAN
Structure: single point on PBEsol structure

```
HoB4Ru4
1.0
-3.6973 3.6973 7.4424
3.6973 -3.6973 7.4424
3.6973 3.6973 -7.4424
Ho B Ru
4 16 16
direct
0.1250 0.3750 0.7500 Ho
0.3750 0.1250 0.2500 Ho
0.6250 0.8750 0.7500 Ho
0.8750 0.6250 0.2500 Ho
0.0654 0.1241 0.2767 B
0.1241 0.3474 0.0587 B
0.1526 0.3759 0.4413 B
0.2113 0.9346 0.5587 B
0.2887 0.8474 0.7233 B
0.3474 0.7887 0.2233 B
0.3759 0.4346 0.2233 B
0.4346 0.7113 0.0587 B
0.5654 0.2887 0.9413 B
0.6241 0.5654 0.7767 B
0.6526 0.2113 0.7767 B
0.7113 0.1526 0.2767 B
0.7887 0.0654 0.4413 B
0.8474 0.6241 0.5587 B
0.8759 0.6526 0.9413 B
0.9346 0.8759 0.7233 B
0.0387 0.8209 0.9861 Ru
0.0526 0.0387 0.7178 Ru
0.1652 0.6791 0.7178 Ru
0.1791 0.6652 0.2178 Ru
0.3209 0.5387 0.4861 Ru
0.3348 0.0526 0.5139 Ru
0.4474 0.1652 0.9861 Ru
0.4613 0.4474 0.7822 Ru
0.5387 0.5526 0.2178 Ru
0.5526 0.8348 0.0139 Ru
0.6652 0.9474 0.4861 Ru
0.6791 0.4613 0.5139 Ru
0.8209 0.3348 0.7822 Ru
0.8348 0.3209 0.2822 Ru
0.9474 0.9613 0.2822 Ru
0.9613 0.1791 0.0139 Ru
```

Computed properties:
space-group type: I4_1/acd
final energy: -24.787 eV/atom
crystal system: tetragonal
M_tot: 0.00 μB per formula unit
E_form: -0.56 eV/atom


Compound: HoB4Ru
Source: Alexandria
Functional: SCAN
Structure: single point on PBEsol structure

```
HoB4Ru
1.0
5.9115 0.0000 0.0000
0.0000 11.4342 0.0000
0.0000 0.0000 3.4967
Ho B Ru
4 16 4
direct
0.1286 0.1499 0.0000 Ho
0.3714 0.6499 0.0000 Ho
0.6286 0.3501 0.0000 Ho
0.8714 0.8501 0.0000 Ho
0.0238 0.6922 0.5000 B
0.1125 0.5470 0.5000 B
0.1358 0.9694 0.5000 B
0.2109 0.8144 0.5000 B
0.2891 0.3144 0.5000 B
0.3642 0.4694 0.5000 B
0.3875 0.0470 0.5000 B
0.4762 0.1922 0.5000 B
0.5238 0.8078 0.5000 B
0.6125 0.9530 0.5000 B
0.6358 0.5306 0.5000 B
0.7109 0.6856 0.5000 B
0.7891 0.1856 0.5000 B
0.8642 0.0306 0.5000 B
0.8875 0.4530 0.5000 B
0.9762 0.3078 0.5000 B
0.1394 0.4078 0.0000 Ru
0.3606 0.9078 0.0000 Ru
0.6394 0.0922 0.0000 Ru
0.8606 0.5922 0.0000 Ru
```

Computed properties:
space-group type: Pbam
final energy: -19.645 eV/atom
crystal system: orthorhombic
M_tot: 0.00 μB per formula unit
E_form: -0.72 eV/atom


Compound: Ho2B6Ru
Source: Alexandria
Functional: SCAN
Structure: single point on PBEsol structure

```
Ho2B6Ru
1.0
9.0580 0.0000 0.0000
0.0000 11.4145 0.0000
0.0000 0.0000 3.5997
Ho B Ru
8 24 4
direct
0.0566 0.1279 0.0000 Ho
0.1778 0.4141 0.0000 Ho
0.3222 0.9141 0.0000 Ho
0.4434 0.6279 0.0000 Ho
0.5566 0.3721 0.0000 Ho
0.6778 0.0859 0.0000 Ho
0.8222 0.5859 0.0000 Ho
0.9434 0.8721 0.0000 Ho
0.0170 0.2875 0.5000 B
0.0537 0.5669 0.5000 B
0.1075 0.9703 0.5000 B
0.1313 0.8149 0.5000 B
0.2092 0.2338 0.5000 B
0.2481 0.5800 0.5000 B
0.2519 0.0800 0.5000 B
0.2908 0.7338 0.5000 B
0.3687 0.3149 0.5000 B
0.3925 0.4703 0.5000 B
0.4463 0.0669 0.5000 B
0.4830 0.7875 0.5000 B
0.5170 0.2125 0.5000 B
0.5537 0.9331 0.5000 B
0.6075 0.5297 0.5000 B
0.6313 0.6851 0.5000 B
0.7092 0.2662 0.5000 B
0.7481 0.9200 0.5000 B
0.7519 0.4200 0.5000 B
0.7908 0.7662 0.5000 B
0.8687 0.1851 0.5000 B
0.8925 0.0297 0.5000 B
0.9463 0.4331 0.5000 B
0.9830 0.7125 0.5000 B
0.1377 0.6789 0.0000 Ru
0.3623 0.1789 0.0000 Ru
0.6377 0.8211 0.0000 Ru
0.8623 0.3211 0.0000 Ru
```

Computed properties:
space-group type: Pbam
final energy: -20.489 eV/atom
crystal system: orthorhombic
M_tot: 0.00 μB per formula unit
E_form: -0.78 eV/atom


Compound: HoB2Ru
Source: Alexandria
Functional: SCAN
Structure: single point on PBEsol structure

```
HoB2Ru
1.0
5.8198 0.0000 0.0000
0.0000 5.2584 0.0000
0.0000 0.0000 6.2727
Ho B Ru
4 8 4
direct
0.0090 0.2500 0.1634 Ho
0.4910 0.7500 0.6634 Ho
0.5090 0.2500 0.3366 Ho
0.9910 0.7500 0.8366 Ho
0.1331 0.5827 0.4608 B
0.1331 0.9173 0.4608 B
0.3669 0.0827 0.9608 B
0.3669 0.4173 0.9608 B
0.6331 0.5827 0.0392 B
0.6331 0.9173 0.0392 B
0.8669 0.0827 0.5392 B
0.8669 0.4173 0.5392 B
0.1814 0.2500 0.6816 Ru
0.3186 0.7500 0.1816 Ru
0.6814 0.2500 0.8184 Ru
0.8186 0.7500 0.3184 Ru
```

Computed properties:
space-group type: Pnma
final energy: -25.367 eV/atom
crystal system: orthorhombic
M_tot: 0.00 μB per formula unit
E_form: -0.70 eV/atom


Compound: Ho5Si2B8
Source: Alexandria
Functional: SCAN
Structure: single point on PBEsol structure

```
Ho5Si2B8
1.0
7.1581 0.0000 0.0000
0.0000 7.1581 0.0000
0.0000 0.0000 7.9281
Ho Si B
10 4 16
direct
0.0000 0.0000 0.0000 Ho
0.1810 0.3190 0.2761 Ho
0.1810 0.3190 0.7239 Ho
0.3190 0.8190 0.2761 Ho
0.3190 0.8190 0.7239 Ho
0.5000 0.5000 0.0000 Ho
0.6810 0.1810 0.2761 Ho
0.6810 0.1810 0.7239 Ho
0.8190 0.6810 0.2761 Ho
0.8190 0.6810 0.7239 Ho
0.1159 0.6159 0.0000 Si
0.3841 0.1159 0.0000 Si
0.6159 0.8841 0.0000 Si
0.8841 0.3841 0.0000 Si
0.0000 0.0000 0.3351 B
0.0000 0.0000 0.6649 B
0.0395 0.8273 0.5000 B
0.0900 0.5900 0.5000 B
0.1727 0.0395 0.5000 B
0.3273 0.5395 0.5000 B
0.4100 0.0900 0.5000 B
0.4605 0.3273 0.5000 B
0.5000 0.5000 0.3351 B
0.5000 0.5000 0.6649 B
0.5395 0.6727 0.5000 B
0.5900 0.9100 0.5000 B
0.6727 0.4605 0.5000 B
0.8273 0.9605 0.5000 B
0.9100 0.4100 0.5000 B
0.9605 0.1727 0.5000 B
```

Computed properties:
space-group type: P4/mbm
final energy: -22.366 eV/atom
formation energy (no corrections): -739 meV per atom
crystal system: tetragonal
M_tot: 0.00 μB per formula unit


Compound: BI3
Source: Alexandria
Functional: SCAN
Structure: single point on PBEsol structure

```
BI3
1.0
7.0160 0.0000 0.0000
-3.5080 6.0760 0.0000
0.0000 0.0000 7.2303
B I
2 6
direct
0.3333 0.6667 0.2500 B
0.6667 0.3333 0.7500 B
0.0460 0.6936 0.2500 I
0.3064 0.3524 0.2500 I
0.3524 0.0460 0.7500 I
0.6476 0.9540 0.2500 I
0.6936 0.6476 0.7500 I
0.9540 0.3064 0.7500 I
```

Computed properties:
space-group type: P6_3/m
final energy: -29.457 eV/atom
formation energy (no corrections): -43 meV per atom
crystal system: hexagonal
M_tot: 0.00 μB per formula unit


Question: Which of these has the lowest final energy?
Answer: BI3